No. 1
K3SbF: optimized geometry, PBE.

a = 5.400 Å, b = 5.400 Å, c = 5.400 Å
α = 90.00°, β = 90.00°, γ = 90.00°
Each line ends with the local moment (μB).
Positions (direct):
K (0.500, 0.000, 0.000)  0.01
K (0.000, 0.000, 0.500)  0.00
Sb (0.500, 0.500, 0.500)  0.32
K (0.000, 0.500, 0.000)  0.01
F (0.000, 0.000, 0.000)  0.00

Computed properties:
- spin magnetization (μB per formula unit) = 1.000
- Fermi-level density of states (states/eV per atom) = 0.53
- formation energy (no corrections) (eV/atom) = -1.2734
- energy above the lowest structure with this stoichiometry (meV/atom) = 0
- electronic total energy (eV per atom) = -3.13
- SG = No. 221

=====

No. 2
K2SbF: optimized geometry, PBE.

a = 7.770 Å, b = 7.770 Å, c = 7.112 Å
α = 56.89°, β = 56.89°, γ = 90.00°
Positions (direct):
K (0.375, 0.489, 0.750)
F (0.250, 0.750, 0.500)
K (0.239, 0.625, 0.250)
F (0.500, 0.500, 0.000)
Sb (0.750, 0.250, 0.500)
Sb (0.000, 0.000, 0.000)
K (0.511, 0.125, 0.250)
K (0.875, 0.761, 0.750)

Computed properties:
- spin magnetization (μB per formula unit) = 0.000
- Fermi-level density of states (states/eV per atom) = 0.17
- formation energy (no corrections) (eV/atom) = -1.1980
- energy above the lowest structure with this stoichiometry (meV/atom) = 0
- electronic total energy (eV per atom) = -3.25
- SG = No. 122

=====

No. 3
K4SbF2: optimized geometry, PBE.

a = 6.488 Å, b = 6.488 Å, c = 8.918 Å
α = 68.67°, β = 68.67°, γ = 90.00°
Each line ends with the local moment (μB).
Positions (direct):
F (0.623, 0.623, 0.754)  0.00
F (0.377, 0.377, 0.246)  0.00
K (0.500, 0.000, 0.000)  0.02
Sb (0.000, 0.000, 0.000)  0.33
K (0.000, 0.500, 0.000)  0.02
K (0.224, 0.224, 0.551)  0.00
K (0.776, 0.776, 0.449)  0.00

Computed properties:
- spin magnetization (μB per formula unit) = 1.033
- Fermi-level density of states (states/eV per atom) = 0.47
- formation energy (no corrections) (eV/atom) = -1.2241
- electronic total energy (eV per atom) = -2.97
- SG = No. 139

=====

No. 4
K4SbF10: optimized geometry, PBE.

a = 5.825 Å, b = 7.340 Å, c = 7.340 Å
α = 80.94°, β = 66.63°, γ = 66.63°
Each line ends with the local moment (μB).
Positions (direct):
K (0.395, 0.809, 0.400)  0.00
F (0.285, 0.761, 0.075)  0.05
K (0.605, 0.191, 0.600)  0.00
F (0.046, 0.075, 0.239)  0.05
F (0.954, 0.925, 0.761)  0.05
K (0.796, 0.600, 0.809)  0.00
F (0.715, 0.239, 0.925)  0.05
F (0.361, 0.925, 0.761)  0.05
F (0.122, 0.239, 0.925)  0.05
F (0.750, 0.500, 0.500)  0.30
F (0.250, 0.500, 0.500)  0.30
F (0.878, 0.761, 0.075)  0.05
F (0.639, 0.075, 0.239)  0.05
Sb (0.000, 0.000, 0.000)  -0.01
K (0.204, 0.400, 0.191)  0.00

Computed properties:
- spin magnetization (μB per formula unit) = 1.071
- Fermi-level density of states (states/eV per atom) = 0.80
- formation energy (no corrections) (eV/atom) = -2.4016
- electronic total energy (eV per atom) = -4.22
- SG = No. 87

=====

No. 5
KSbF6: optimized geometry, PBE.

a = 5.311 Å, b = 5.311 Å, c = 10.017 Å
α = 90.00°, β = 90.00°, γ = 90.00°
Positions (direct):
F (0.256, 0.744, 0.250)
K (0.500, 0.500, 0.500)
F (0.818, 0.182, 0.885)
F (0.744, 0.256, 0.250)
Sb (0.000, 0.000, 0.750)
Sb (0.000, 0.000, 0.250)
K (0.500, 0.500, 0.000)
F (0.182, 0.818, 0.615)
F (0.182, 0.182, 0.115)
F (0.744, 0.744, 0.750)
F (0.182, 0.818, 0.885)
F (0.818, 0.182, 0.615)
F (0.182, 0.182, 0.385)
F (0.818, 0.818, 0.115)
F (0.256, 0.256, 0.750)
F (0.818, 0.818, 0.385)

Computed properties:
- spin magnetization (μB per formula unit) = 0.000
- Fermi-level density of states (states/eV per atom) = 0.00
- formation energy (no corrections) (eV/atom) = -2.5867
- electronic total energy (eV per atom) = -4.64
- SG = No. 132

=====

No. 6
K3SbF8: optimized geometry, PBE.

a = 5.898 Å, b = 5.898 Å, c = 7.116 Å
α = 114.48°, β = 114.48°, γ = 90.00°
Positions (direct):
F (0.901, 0.901, 0.208)
Sb (0.000, 0.000, 0.000)
K (0.750, 0.250, 0.500)
F (0.307, 0.901, 0.208)
F (0.307, 0.307, 0.208)
K (0.500, 0.500, 0.000)
F (0.901, 0.307, 0.208)
F (0.099, 0.099, 0.792)
F (0.099, 0.693, 0.792)
K (0.250, 0.750, 0.500)
F (0.693, 0.693, 0.792)
F (0.693, 0.099, 0.792)

Computed properties:
- spin magnetization (μB per formula unit) = 0.000
- Fermi-level density of states (states/eV per atom) = 0.00
- formation energy (no corrections) (eV/atom) = -2.5540
- electronic total energy (eV per atom) = -4.42
- SG = No. 139